First-principles (GGA-PBEsol) data for a relaxed CaLa5 crystal, as listed in the Alexandria database.

Computed properties:
As for the total energy: -0.17453 Ha/atom. Its energy above the most stable polymorph in this dataset is 39 meV/atom. The calculation puts the total moment at 0.00 μB/atom. The energy of formation from the pure elements comes out at 0.062 eV/atom.

Cell lengths 6.429, 6.429, 5.881 Å; angles 90.00, 90.00, 120.00 degrees
Fractional positions:
Ca (0.000, 0.000, 0.000)
La (0.000, 0.364, 0.500)
La (0.333, 0.667, 0.000)
La (0.364, 0.000, 0.500)
La (0.636, 0.636, 0.500)
La (0.667, 0.333, 0.000)